First-principles (PBE) data for crystalline Ba2LiO2 at its relaxed geometry, as listed in Alexandria.

## Properties
Calculated volume (Å³/cell): 423.32
Formation energy without anion corrections (eV/atom): -1.90
Mass density (g cm⁻³): 4.92
D(E_F) (states/eV/atom): 0.1344
Excess energy over the best structure of this formula in the dataset (eV per atom): 0.025

abc: 8.4171 6.5433 7.7422
angles: 90.00 96.90 90.00
Space group P2_1/c (No. 14)
Symmetry-distinct sites (fractional):
Ba 0.1084 0.1740 0.3402 [4 per cell]
Ba 0.3323 0.6819 0.5132 [4 per cell]
Li 0.3971 0.1075 0.6898 [4 per cell]
O 0.1863 0.5101 0.1504 [4 per cell]
O 0.4419 0.1038 0.2359 [4 per cell]

=====

First-principles (PBE) data for crystalline BaLi2O at its relaxed geometry, as listed in Alexandria.

## Properties
Calculated volume (Å³/cell): 353.31
Formation energy without anion corrections (eV/atom): -0.86
Mass density (g cm⁻³): 3.14
D(E_F) (states/eV/atom): 0.5598

abc: 6.2810 6.2810 8.9557
angles: 90.00 90.00 90.00
Space group I4_1/amd (No. 141, origin choice 2)
Symmetry-distinct sites (fractional):
Ba 0.0000 0.2500 0.3750 [4 per cell]
Li 0.0000 0.0000 0.0000 [8 per cell]
O 0.0000 0.2500 0.8750 [4 per cell]

=====

First-principles (PBE) data for crystalline Ba2LiO2 at its relaxed geometry, as listed in Alexandria.

## Properties
Calculated volume (Å³/cell): 203.78
Formation energy without anion corrections (eV/atom): -1.69
Mass density (g cm⁻³): 5.11
D(E_F) (states/eV/atom): 0.1293
Excess energy over the best structure of this formula in the dataset (eV per atom): 0.233

abc: 7.4120 7.4120 3.7093
angles: 90.00 90.00 90.00
Space group P4/mbm (No. 127)
Symmetry-distinct sites (fractional):
Ba 0.1584 0.3416 0.0000 [4 per cell]
Li 0.0000 0.0000 0.5000 [2 per cell]
O 0.1662 0.6662 0.5000 [4 per cell]

=====

First-principles (PBE) data for crystalline BaLiO2 at its relaxed geometry, as listed in Alexandria.

## Properties
Calculated volume (Å³/cell): 254.93
Formation energy without anion corrections (eV/atom): -1.65
Mass density (g cm⁻³): 3.44
D(E_F) (states/eV/atom): 1.7484
Excess energy over the best structure of this formula in the dataset (eV per atom): 0.032

abc: 4.0040 4.0040 18.3607
angles: 90.00 90.00 120.00
Space group R-3m (No. 166, hexagonal axes)
Symmetry-distinct sites (fractional):
Ba 0.0000 0.0000 0.0000 [3 per cell]
Li 0.0000 0.0000 0.5000 [3 per cell]
O 0.0000 0.0000 0.4028 [6 per cell]

=====

First-principles (PBE) data for crystalline BaLiOsO4 at its relaxed geometry, as listed in Alexandria.

## Properties
Calculated volume (Å³/cell): 591.86
Formation energy without anion corrections (eV/atom): -1.35
Mass density (g cm⁻³): 4.47
D(E_F) (states/eV/atom): 0.5467

abc: 8.3960 8.3960 8.3960
angles: 90.00 90.00 90.00
Space group F-43m (No. 216)
Symmetry-distinct sites (fractional):
Ba 0.0000 0.0000 0.0000 [4 per cell]
Li 0.2500 0.2500 0.7500 [4 per cell]
Os 0.0000 0.0000 0.5000 [4 per cell]
O 0.1265 0.1265 0.6265 [16 per cell]

=====

First-principles (PBE) data for crystalline Ba2LiOsO6 at its relaxed geometry, as listed in Alexandria.

## Properties
Calculated volume (Å³/cell): 552.50
Formation energy without anion corrections (eV/atom): -2.02
Mass density (g cm⁻³): 6.83
D(E_F) (states/eV/atom): 0.4283

abc: 8.2056 8.2056 8.2056
angles: 90.00 90.00 90.00
Space group Fm-3m (No. 225)
Symmetry-distinct sites (fractional):
Ba 0.2500 0.2500 0.2500 [8 per cell]
Li 0.0000 0.0000 0.0000 [4 per cell]
Os 0.0000 0.0000 0.5000 [4 per cell]
O 0.0000 0.0000 0.2667 [24 per cell]

=====

First-principles (PBE) data for crystalline Ba3Li2OsO6 at its relaxed geometry, as listed in Alexandria.

## Properties
Calculated volume (Å³/cell): 205.51
Formation energy without anion corrections (eV/atom): -1.94
Mass density (g cm⁻³): 5.75
D(E_F) (states/eV/atom): 0.1782

abc: 5.8810 5.8810 6.8612
angles: 90.00 90.00 120.00
Space group P-3m1 (No. 164)
Symmetry-distinct sites (fractional):
Ba 0.0000 0.0000 0.0000 [1 per cell]
Ba 0.3333 0.6667 0.6404 [2 per cell]
Li 0.3333 0.6667 0.2298 [2 per cell]
Os 0.0000 0.0000 0.5000 [1 per cell]
O 0.1603 0.3206 0.3265 [6 per cell]

=====

First-principles (PBE) data for crystalline Ba3LiOs2O9 at its relaxed geometry, as listed in Alexandria.

## Properties
Calculated volume (Å³/cell): 204.95
Formation energy without anion corrections (eV/atom): -1.95
Mass density (g cm⁻³): 7.64
D(E_F) (states/eV/atom): 0.4588

abc: 5.7730 5.7730 7.1010
angles: 90.00 90.00 120.00
Space group P-3m1 (No. 164)
Symmetry-distinct sites (fractional):
Ba 0.0000 0.0000 0.0000 [1 per cell]
Ba 0.3333 0.6667 0.6511 [2 per cell]
Li 0.0000 0.0000 0.5000 [1 per cell]
Os 0.3333 0.6667 0.1607 [2 per cell]
O 0.0000 0.5000 0.0000 [3 per cell]
O 0.1766 0.3532 0.3158 [6 per cell]

=====

First-principles (PBE) data for crystalline Ba3LiOs2O9 at its relaxed geometry, as listed in Alexandria.

## Properties
Calculated volume (Å³/cell): 428.73
Formation energy without anion corrections (eV/atom): -1.95
Mass density (g cm⁻³): 7.31
D(E_F) (states/eV/atom): 0.3936

abc: 5.8975 5.8975 14.2336
angles: 90.00 90.00 120.00
Space group P6_3/mmc (No. 194)
Symmetry-distinct sites (fractional):
Ba 0.0000 0.0000 0.2500 [2 per cell]
Ba 0.3333 0.6667 0.0868 [4 per cell]
Li 0.0000 0.0000 0.0000 [2 per cell]
Os 0.3333 0.6667 0.6602 [4 per cell]
O 0.0157 0.5078 0.7500 [6 per cell]
O 0.1767 0.3535 0.5878 [12 per cell]

=====

First-principles (PBE) data for crystalline BaLi2Os2O7 at its relaxed geometry, as listed in Alexandria.

## Properties
Calculated volume (Å³/cell): 284.59
Formation energy without anion corrections (eV/atom): -1.55
Mass density (g cm⁻³): 7.51
D(E_F) (states/eV/atom): 0.5475

abc: 3.8816 3.8816 18.8884
angles: 90.00 90.00 90.00
Space group I4/mmm (No. 139)
Symmetry-distinct sites (fractional):
Ba 0.0000 0.0000 0.0000 [2 per cell]
Li 0.0000 0.5000 0.2500 [4 per cell]
Os 0.0000 0.0000 0.3835 [4 per cell]
O 0.0000 0.0000 0.2819 [4 per cell]
O 0.0000 0.0000 0.5000 [2 per cell]
O 0.0000 0.5000 0.1124 [8 per cell]